This record from Alexandria via LeMat-Bulk describes an optimized crystal structure of BeIn2F4. The functional is PBE-GGA.

Results
E = -66.5 eV per cell
E_form (uncorrected) = -2.3683 eV per atom
DOS(E_F) = 0.000 states/eV/atom

```
BeIn2F4
1.0
-3.003 -1.522 4.420
4.060 -3.473 1.563
-0.087 8.848 2.988
F In Be
8 4 2
direct
0.750 0.112 0.042
0.250 0.888 0.958
0.250 0.061 0.753
0.021 0.611 0.680
0.750 0.939 0.247
0.521 0.389 0.320
0.979 0.389 0.320
0.479 0.611 0.680
0.250 0.398 0.082
0.750 0.602 0.918
0.250 0.158 0.443
0.750 0.842 0.557
0.750 0.201 0.230
0.250 0.799 0.770
```


This record from Alexandria via LeMat-Bulk describes an optimized crystal structure of La2GaBr. The functional is PBE-GGA.

Results
E = -17.7 eV per cell
E_form (uncorrected) = -0.7821 eV per atom
DOS(E_F) = 1.200 states/eV/atom
ΔE to the lowest computed polymorph = 198 meV/atom

```
La2GaBr
1.0
-0.954 -5.291 0.577
0.663 -2.356 4.821
-4.308 -1.681 2.803
La Ga Br
2 1 1
direct
0.750 0.750 0.750
0.250 0.250 0.250
0.000 0.000 0.000
0.500 0.500 0.500
```


This record from Alexandria via LeMat-Bulk describes an optimized crystal structure of KRb2SrF5. The functional is PBE-GGA.

Results
E = -41.4 eV per cell
E_form (uncorrected) = -3.0325 eV per atom
DOS(E_F) = 0.000 states/eV/atom

```
KRb2SrF5
1.0
4.672 0.000 0.000
0.000 4.672 0.000
0.000 0.000 9.865
F Rb Sr K
5 2 1 1
direct
0.000 0.500 0.500
0.000 0.000 0.746
0.500 0.500 0.000
0.500 0.000 0.500
0.000 0.000 0.254
0.500 0.500 0.725
0.500 0.500 0.275
0.000 0.000 0.500
0.000 0.000 0.000
```